A plane-wave DFT calculation with PBE was carried out for a relaxed structure of YMg2Te.

POSCAR file:
```
YMg2Te
1.0
4.9526 0.0000 0.0000
0.0000 3.8402 0.0000
-1.6822 0.0000 5.6037
Y Mg Te
1 2 1
Direct
0.0000 0.0000 0.0000 Y
0.0000 0.5000 0.5000 Mg
0.5000 0.0000 0.5000 Mg
0.5000 0.5000 0.0000 Te
```

Output
**Raw total energy**: -3.622 eV/atom
**Space-group type**: No. 10
**Formation energy without anion corrections**: -423 meV/atom